[1]
Compound: CsSn3N
Source: Alexandria via LeMat-Bulk
Functional: GGA-PBE
Structure: relaxed

Formation energy from raw total energies = 636 meV per atom
Energy relative to the lowest polymorph listed for this composition = 0.0 meV per atom
Density = 6.0 Mg/m³

a b c (Å): 5.188 5.188 5.188
angles (deg): 90.00 90.00 90.00
Fractional positions:
Cs  0.500  0.500  0.500
Sn  0.000  0.500  0.000
Sn  0.000  0.000  0.500
Sn  0.500  0.000  0.000
N  0.000  0.000  0.000

---

[2]
Compound: CsSnN2
Source: Alexandria via LeMat-Bulk
Functional: GGA-PBE
Structure: relaxed

Formation energy from raw total energies = 493 meV per atom
Density = 5.1 Mg/m³

a b c (Å): 6.386 6.386 6.322
angles (deg): 59.66 59.66 90.00
Site moments in Bohr magnetons follow the coordinates.
Fractional positions:
Cs  0.000  0.000  0.000  0.01
Cs  0.750  0.250  0.500  0.01
Sn  0.500  0.500  0.000  -0.03
Sn  0.250  0.750  0.500  -0.03
N  0.491  0.125  0.250  0.37
N  0.259  0.625  0.250  0.36
N  0.375  0.509  0.750  0.34
N  0.875  0.741  0.750  0.32

---

[3]
Compound: CsSnN
Source: Alexandria via LeMat-Bulk
Functional: GGA-PBE
Structure: relaxed

Formation energy from raw total energies = 98 meV per atom
Energy relative to the lowest polymorph listed for this composition = 0.0 meV per atom
Density = 3.9 Mg/m³

a b c (Å): 7.220 7.221 6.573
angles (deg): 77.12 77.12 42.98
Fractional positions:
Sn  0.171  0.447  0.654
Sn  0.166  0.442  0.155
Cs  0.878  0.154  0.298
Cs  0.466  0.742  0.758
N  0.069  0.345  0.949
N  0.070  0.346  0.458

---

[4]
Compound: CsSn3N
Source: Alexandria via LeMat-Bulk
Functional: GGA-PBE
Structure: relaxed

Formation energy from raw total energies = 2624 meV per atom
Energy relative to the lowest polymorph listed for this composition = 1987.7 meV per atom
Density = 3.4 Mg/m³

a b c (Å): 6.255 6.255 6.255
angles (deg): 90.00 90.00 90.00
Fractional positions:
Cs  0.000  0.000  0.000
Sn  0.000  0.500  0.000
Sn  0.000  0.000  0.500
Sn  0.500  0.000  0.000
N  0.500  0.500  0.500

---

Look up the density of the first one.
6.0 Mg/m³